[1]
# MnHgSe2

An optimized crystal structure of MnHgSe2 (PBE, Alexandria).

extended XYZ file:
```
8
Lattice="-2.108 1.383 -2.402 1.938 -2.786 -0.780 -14.646 -11.871 6.018" Properties=species:S:1:pos:R:3 pbc="T T T"
Hg -11.744 -8.910 2.652
Hg -3.072 -4.364 0.184
Mn -7.323 -5.935 3.009
Mn 0.000 0.000 0.000
Se -0.476 -2.260 -0.883
Se -14.340 -11.014 3.719
Se -5.669 -6.468 1.250
Se -9.148 -6.806 1.585
```

Values from the calculation:
- energy relative to the elements, uncorrected (eV per formula unit) = -1.4
- space group = P6_3/mmc

***

[2]
# Mn2HgSe

An optimized crystal structure of Mn2HgSe (PBE, Alexandria).

extended XYZ file:
```
4
Lattice="-3.682 1.818 2.166 -2.206 -2.825 -2.951 0.121 -2.501 2.304" Properties=species:S:1:pos:R:3 pbc="T T T"
Hg -1.043 -2.663 -0.323
Se -1.781 -0.341 2.235
Mn 0.000 0.000 0.000
Mn -2.944 -0.503 -0.392
```

Values from the calculation:
- energy relative to the elements, uncorrected (eV per formula unit) = 1.1
- space group = Cmmm

***

[3]
# Mn2HgSe

An optimized crystal structure of Mn2HgSe (PBE, Alexandria).

extended XYZ file:
```
4
Lattice="3.282 0.000 0.000 0.000 3.841 -0.613 0.000 1.067 6.429" Properties=species:S:1:pos:R:3 pbc="T T T"
Mn 0.000 1.547 3.292
Mn 0.000 1.975 6.045
Se 1.641 1.227 1.454
Hg 1.641 3.681 4.362
```

Values from the calculation:
- energy relative to the elements, uncorrected (eV per formula unit) = 0.7
- space group = P2/m

***

[4]
# MnHgSe2

An optimized crystal structure of MnHgSe2 (PBE, Alexandria).

extended XYZ file:
```
4
Lattice="-2.401 0.714 -3.055 -0.802 -3.859 -0.271 -4.431 0.665 3.637" Properties=species:S:1:pos:R:3 pbc="T T T"
Se -3.817 -1.240 0.156
Se 0.000 0.000 0.000
Hg -1.601 -1.573 -1.663
Mn -2.215 0.333 1.819
```

Values from the calculation:
- energy relative to the elements, uncorrected (eV per formula unit) = -0.6
- space group = P4/mmm

***

[5]
# MnHgSe2

An optimized crystal structure of MnHgSe2 (PBE, Alexandria).

extended XYZ file:
```
4
Lattice="9.266 0.000 2.359 1.319 1.741 -2.715 -1.319 1.741 2.715" Properties=species:S:1:pos:R:3 pbc="T T T"
Se 8.410 1.741 0.825
Se 0.856 1.741 1.535
Mn 0.000 0.000 0.000
Hg 4.633 1.741 1.180
```

Values from the calculation:
- energy relative to the elements, uncorrected (eV per formula unit) = -1.4
- space group = C2/m

***

[6]
# MnHgSe2

An optimized crystal structure of MnHgSe2 (PBE, Alexandria).

extended XYZ file:
```
8
Lattice="-3.218 6.385 0.546 -4.588 -0.346 -5.239 -5.333 -4.039 -1.968" Properties=species:S:1:pos:R:3 pbc="T T T"
Hg -8.519 1.249 -3.073
Hg -4.620 0.751 -3.588
Se -6.896 3.907 -1.837
Se -6.243 -1.907 -4.825
Se -10.440 0.141 -6.432
Se -2.699 1.858 -0.229
Mn -3.506 -0.439 -0.873
Mn -9.633 2.438 -5.788
```

Values from the calculation:
- energy relative to the elements, uncorrected (eV per formula unit) = -0.6
- space group = C2/c

***

[7]
# MnHgSe2

An optimized crystal structure of MnHgSe2 (PBE, Alexandria).

extended XYZ file:
```
16
Lattice="9.382 0.000 0.000 0.000 3.282 0.000 0.000 0.000 12.426" Properties=species:S:1:pos:R:3 pbc="T T T"
Hg 8.744 2.461 4.916
Hg 4.053 2.461 1.296
Hg 0.639 0.820 7.509
Hg 5.330 0.820 11.129
Se 6.248 0.820 7.035
Se 3.437 0.820 8.666
Se 1.557 0.820 11.603
Se 1.254 2.461 2.453
Se 5.945 2.461 3.759
Se 7.825 2.461 0.823
Se 8.128 0.820 9.972
Se 3.134 2.461 5.390
Mn 9.212 2.461 11.354
Mn 0.170 0.820 1.072
Mn 4.521 2.461 7.285
Mn 4.861 0.820 5.141
```

Values from the calculation:
- energy relative to the elements, uncorrected (eV per formula unit) = -0.9
- space group = Pnma

***

[8]
# Mn4HgSe8

An optimized crystal structure of Mn4HgSe8 (PBE, Alexandria).

extended XYZ file:
```
13
Lattice="6.537 0.000 3.774 2.179 6.163 3.774 0.000 0.000 7.548" Properties=species:S:1:pos:R:3 pbc="T T T"
Se 5.300 3.747 5.917
Se 5.300 3.747 9.179
Se 1.157 0.818 2.004
Se 2.179 3.708 3.774
Se 2.475 3.747 7.548
Se 4.358 1.084 7.548
Se 4.222 0.818 3.774
Se 1.157 0.818 5.544
Mn 3.207 2.267 9.542
Mn 3.207 2.267 5.554
Mn 6.661 2.267 7.548
Mn 4.358 5.524 7.548
Hg 6.537 4.622 11.322
```

Values from the calculation:
- energy relative to the elements, uncorrected (eV per formula unit) = -5.1
- space group = F-43m

***

[9]
# MnHgSe2

An optimized crystal structure of MnHgSe2 (PBE, Alexandria).

extended XYZ file:
```
16
Lattice="-13.847 -6.023 8.502 2.414 -0.194 3.795 2.974 7.592 -1.504" Properties=species:S:1:pos:R:3 pbc="T T T"
Se -3.189 -0.658 6.014
Se -5.583 -3.298 7.403
Se 0.178 1.248 1.298
Se -5.270 2.034 4.779
Se -2.876 4.673 3.390
Se -11.274 -2.136 8.413
Se -8.637 0.127 9.495
Se 2.815 3.511 2.380
Mn -5.411 -0.465 4.757
Mn -3.048 1.840 6.036
Mn 2.997 6.343 -0.250
Mn -11.456 -4.968 11.043
Hg -1.219 1.596 3.945
Hg -5.826 2.314 8.748
Hg -2.633 -0.938 2.045
Hg -7.240 -0.220 6.848
```

Values from the calculation:
- energy relative to the elements, uncorrected (eV per formula unit) = -0.5
- space group = P2_1/c

***

[10]
# MnHgSe2

An optimized crystal structure of MnHgSe2 (PBE, Alexandria).

extended XYZ file:
```
32
Lattice="-1.955 2.776 -12.424 -7.225 -3.584 -4.988 -4.934 4.059 7.008" Properties=species:S:1:pos:R:3 pbc="T T T"
Se -6.948 4.229 -5.313
Se -9.612 -0.719 -7.724
Se -4.067 2.236 -6.063
Se -9.376 3.385 -6.967
Se -7.166 -0.979 -5.091
Se -10.407 2.076 -0.421
Se -5.471 4.336 -8.597
Se -3.052 0.847 0.143
Se -3.707 1.175 -9.983
Se -7.832 2.914 1.208
Se -4.502 3.969 -2.681
Se -8.643 -1.085 -1.807
Se -11.062 2.404 -10.547
Se -10.047 1.014 -4.341
Se -6.282 0.337 -11.612
Se -4.738 -0.135 -3.438
Hg -1.802 1.838 -7.495
Hg -5.682 0.639 -0.476
Hg -6.802 1.245 -7.777
Hg -12.312 1.413 -2.909
Hg -6.035 3.732 4.658
Hg -8.432 2.611 -9.928
Hg -8.079 -0.481 -15.062
Hg -7.312 2.005 -2.627
Mn -8.995 3.202 -4.465
Mn -11.310 2.192 -6.095
Mn -4.141 1.360 -12.476
Mn -5.119 0.049 -5.939
Mn -5.722 2.522 -10.198
Mn -2.804 1.058 -4.309
Mn -9.973 1.890 2.072
Mn -8.392 0.729 -0.206
```

Values from the calculation:
- energy relative to the elements, uncorrected (eV per formula unit) = -0.4
- space group = C2/c

***

[11]
# MnHgSe2

An optimized crystal structure of MnHgSe2 (PBE, Alexandria).

extended XYZ file:
```
4
Lattice="3.041 0.000 0.000 0.000 3.041 0.000 0.000 0.000 9.288" Properties=species:S:1:pos:R:3 pbc="T T T"
Mn 1.521 1.521 7.253
Hg 0.000 0.000 5.003
Se 0.000 0.000 8.508
Se 1.521 1.521 2.457
```

Values from the calculation:
- energy relative to the elements, uncorrected (eV per formula unit) = 0.6
- space group = P4mm

***

[12]
# MnHgSe3

An optimized crystal structure of MnHgSe3 (PBE, Alexandria).

extended XYZ file:
```
5
Lattice="-1.503 2.283 3.913 1.257 -3.751 2.671 4.352 1.871 0.580" Properties=species:S:1:pos:R:3 pbc="T T T"
Se -0.751 1.141 1.956
Se 0.628 -1.875 1.335
Se 2.176 0.936 0.290
Mn 0.000 0.000 0.000
Hg 2.053 0.201 3.582
```

Values from the calculation:
- energy relative to the elements, uncorrected (eV per formula unit) = 1.5
- space group = Pm-3m
- relative energy among the computed polymorphs (eV per atom) = 0.0000

***

[13]
# MnHg4Se5

An optimized crystal structure of MnHg4Se5 (PBE, Alexandria).

extended XYZ file:
```
20
Lattice="4.381 0.000 0.000 -2.191 3.794 0.000 0.000 0.000 35.665" Properties=species:S:1:pos:R:3 pbc="T T T"
Hg 2.191 1.265 28.602
Hg 2.191 1.265 21.300
Hg 0.000 2.529 24.951
Hg 2.191 1.265 0.235
Hg 0.000 2.529 17.651
Hg 0.000 2.529 32.254
Hg 2.191 1.265 13.989
Hg 2.191 1.265 7.104
Se 2.191 1.265 33.200
Se 0.000 2.529 14.935
Se 0.000 2.529 8.087
Se 2.191 1.265 18.587
Se 2.191 1.265 25.893
Se 2.191 1.265 4.394
Se 0.000 2.529 22.240
Se 2.191 1.265 11.265
Se 0.000 2.529 1.216
Se 0.000 2.529 29.547
Mn 0.000 2.529 10.628
Mn 0.000 2.529 3.749
```

Values from the calculation:
- energy relative to the elements, uncorrected (eV per formula unit) = -2.4
- space group = P3m1

***

[14]
# MnHgSe2

An optimized crystal structure of MnHgSe2 (PBE, Alexandria).

extended XYZ file:
```
4
Lattice="-3.617 5.912 1.183 -5.748 1.990 -3.526 3.773 -4.107 4.282" Properties=species:S:1:pos:R:3 pbc="T T T"
Se -8.445 7.126 -2.113
Se -5.602 4.727 -1.402
Hg -3.329 0.917 -0.208
Mn -2.263 2.878 2.147
```

Values from the calculation:
- energy relative to the elements, uncorrected (eV per formula unit) = -0.5
- space group = Immm

***

[15]
# MnHgSe2

An optimized crystal structure of MnHgSe2 (PBE, Alexandria).

extended XYZ file:
```
4
Lattice="8.132 0.167 0.000 6.280 5.170 0.000 -7.206 -2.668 2.667" Properties=species:S:1:pos:R:3 pbc="T T T"
Se 0.000 0.000 0.000
Se 3.140 2.585 1.334
Hg 7.206 2.668 0.000
Mn 4.066 0.084 1.334
```

Values from the calculation:
- energy relative to the elements, uncorrected (eV per formula unit) = 0.1
- space group = I-4m2

***

[16]
# MnHgSe2

An optimized crystal structure of MnHgSe2 (PBE, Alexandria).

extended XYZ file:
```
16
Lattice="-6.039 0.431 -0.498 -0.075 -8.849 -6.751 -0.613 -3.411 4.477" Properties=species:S:1:pos:R:3 pbc="T T T"
Hg -2.445 -8.923 -5.342
Hg -5.438 -5.523 -3.162
Hg -1.288 -6.306 0.389
Hg -4.281 -2.905 2.570
Se -5.637 -1.942 -0.461
Se -1.937 -6.358 -3.319
Se -4.790 -5.471 0.547
Se -2.630 -3.622 -1.329
Se -4.096 -8.207 -1.443
Se -4.973 -8.158 -5.105
Se -1.089 -9.886 -2.311
Se -1.753 -3.671 2.333
Mn -6.651 -2.980 3.979
Mn -3.363 -5.914 -1.386
Mn -3.669 -7.620 0.853
Mn -0.306 -1.705 2.238
```

Values from the calculation:
- energy relative to the elements, uncorrected (eV per formula unit) = -0.9
- space group = Pnma

***

[17]
# MnSn2HgSe4

An optimized crystal structure of MnSn2HgSe4 (PBE, Alexandria).

extended XYZ file:
```
8
Lattice="-4.023 0.557 -0.581 -1.357 -3.558 5.985 -0.188 4.552 5.663" Properties=species:S:1:pos:R:3 pbc="T T T"
Sn -0.188 4.552 5.663
Sn -2.105 2.554 2.541
Se -2.515 2.602 5.422
Se -1.136 0.751 8.581
Se -3.053 -1.050 5.645
Se -4.432 0.800 2.485
Mn -0.773 0.497 5.824
Hg -2.690 -1.500 2.702
```

Values from the calculation:
- energy relative to the elements, uncorrected (eV per formula unit) = -2.5
- space group = P2/m

***

[18]
# Ta2MnHg2Se6

An optimized crystal structure of Ta2MnHg2Se6 (PBE, Alexandria).

extended XYZ file:
```
11
Lattice="6.042 -0.008 -0.045 -2.993 5.248 -0.045 -1.214 -2.086 9.601" Properties=species:S:1:pos:R:3 pbc="T T T"
Se 1.475 2.535 6.309
Se 3.380 2.488 3.122
Se 0.492 4.168 3.122
Se 0.360 0.618 3.202
Se 1.342 -1.014 6.389
Se -1.545 0.665 6.389
Mn -0.607 -1.043 4.801
Ta -0.614 2.467 4.756
Ta 2.448 0.686 4.756
Hg -1.412 4.328 -0.045
Hg 4.461 0.911 -0.045
```

Values from the calculation:
- energy relative to the elements, uncorrected (eV per formula unit) = -5.8
- space group = C2/m

***

[19]
# Mn2HgTeSe

An optimized crystal structure of Mn2HgTeSe (PBE, Alexandria).

extended XYZ file:
```
5
Lattice="5.158 0.000 0.000 0.000 5.517 0.000 0.000 0.000 5.158" Properties=species:S:1:pos:R:3 pbc="T T T"
Mn 0.000 0.000 2.579
Mn 2.579 0.000 0.000
Se 2.579 2.759 2.579
Te 0.000 2.759 0.000
Hg 0.000 0.000 0.000
```

Values from the calculation:
- energy relative to the elements, uncorrected (eV per formula unit) = 5.0
- space group = P4/mmm

***

[20]
# UMn4HgSe8

An optimized crystal structure of UMn4HgSe8 (PBE, Alexandria).

extended XYZ file:
```
14
Lattice="7.858 0.000 0.000 3.929 6.805 0.000 3.929 2.268 6.526" Properties=species:S:1:pos:R:3 pbc="T T T"
Se 9.873 5.700 1.717
Se 11.787 6.805 4.653
Se 5.776 3.335 4.703
Se 3.929 2.268 2.037
Se 9.940 3.335 4.703
Se 7.858 6.941 4.703
Se 7.858 2.209 1.717
Se 5.842 5.700 1.717
U 3.929 2.268 6.517
Hg 7.858 4.537 5.969
Mn 13.727 7.925 3.276
Mn 11.787 4.565 3.276
Mn 7.858 4.537 0.682
Mn 9.847 7.925 3.276
```

Values from the calculation:
- energy relative to the elements, uncorrected (eV per formula unit) = -7.3
- space group = R3m

***

[21]
# UMnHg2Se6

An optimized crystal structure of UMnHg2Se6 (PBE, Alexandria).

extended XYZ file:
```
10
Lattice="6.914 -0.001 -0.002 -3.458 5.990 -0.001 -3.455 -1.996 6.162" Properties=species:S:1:pos:R:3 pbc="T T T"
Se -2.211 3.777 4.522
Se -1.290 1.866 1.395
Se -2.482 0.113 4.524
Se 1.396 2.179 4.522
Se 2.587 3.933 1.393
Se 2.317 0.269 1.395
Hg 0.053 0.026 3.405
Hg 0.053 4.019 2.512
U 0.054 4.019 6.038
Mn 3.510 2.022 2.957
```

Values from the calculation:
- energy relative to the elements, uncorrected (eV per formula unit) = -4.5
- space group = R-3

***

[22]
# Mn2SiHg

An optimized crystal structure of Mn2SiHg (PBE, Alexandria).

extended XYZ file:
```
4
Lattice="6.958 0.725 -0.529 5.158 4.725 0.529 -6.033 -2.781 2.255" Properties=species:S:1:pos:R:3 pbc="T T T"
Mn 11.963 5.381 0.000
Mn 2.474 -0.123 0.863
Hg 3.274 2.642 1.392
Si 6.545 2.944 0.000
```

Values from the calculation:
- energy relative to the elements, uncorrected (eV per formula unit) = 0.9
- space group = Imm2
- relative energy among the computed polymorphs (eV per atom) = 0.1346

***

[23]
# MnSi2Hg

An optimized crystal structure of MnSi2Hg (PBE, Alexandria).

extended XYZ file:
```
4
Lattice="-0.129 2.794 2.444 1.726 -1.468 1.769 5.833 1.863 -1.822" Properties=species:S:1:pos:R:3 pbc="T T T"
Mn 6.691 1.817 1.098
Hg 3.047 0.852 -0.813
Si 1.448 1.446 1.246
Si 5.858 1.136 -0.989
```

Values from the calculation:
- energy relative to the elements, uncorrected (eV per formula unit) = 0.7
- space group = Amm2